# 1
# LiCuF2 | Alexandria | PBE-GGA | relaxed
data_LiCuF2
_symmetry_space_group_name_H-M 'R 3 m'
_symmetry_Int_Tables_number 160
_symmetry_space_group_name_Hall 'R 3 -2"'
_cell_length_a 3.0067
_cell_length_b 3.0067
_cell_length_c 17.5520
_cell_angle_alpha 90.00
_cell_angle_beta 90.00
_cell_angle_gamma 120.00
loop_
_atom_site_label
_atom_site_type_symbol
_atom_site_fract_x
_atom_site_fract_y
_atom_site_fract_z
Li1 Li 0.0000 0.0000 0.0000
Cu1 Cu 0.0000 0.0000 0.5137
F1 F 0.0000 0.0000 0.1043
F2 F 0.0000 0.0000 0.6260
# * uncorrected formation energy: -1.90 eV/atom


# 2
# TlOs3 | Alexandria | PBE-GGA | relaxed
data_TlOs3
_symmetry_space_group_name_H-M 'C 1 2/m 1'
_symmetry_Int_Tables_number 12
_cell_length_a 9.228
_cell_length_b 2.851
_cell_length_c 5.035
_cell_angle_alpha 90.00
_cell_angle_beta 99.49
_cell_angle_gamma 90.00
loop_
_symmetry_equiv_pos_as_xyz
'x,y,z'
'-x,-y,-z'
'-x,y,-z'
'x,-y,z'
'x+1/2,y+1/2,z'
'-x+1/2,-y+1/2,-z'
'-x+1/2,y+1/2,-z'
'x+1/2,-y+1/2,z'
loop_
_atom_site_label
_atom_site_type_symbol
_atom_site_fract_x
_atom_site_fract_y
_atom_site_fract_z
Tl1 Tl 0.000 0.000 0.000
Os1 Os 0.000 0.500 0.500
Os2 Os 0.237 0.000 0.714
# * relative energy among the computed polymorphs: 0.63 eV per formula unit
# * formation energy from the elements: 830 meV per atom


# 3
# NaPrCl3 | Alexandria | PBE-GGA | relaxed
data_NaPrCl3
_symmetry_space_group_name_H-M 'P -1'
_symmetry_Int_Tables_number 2
_cell_length_a 6.696
_cell_length_b 6.737
_cell_length_c 7.994
_cell_angle_alpha 66.33
_cell_angle_beta 68.07
_cell_angle_gamma 61.65
loop_
_symmetry_equiv_pos_as_xyz
'x,y,z'
'-x,-y,-z'
loop_
_atom_site_label
_atom_site_type_symbol
_atom_site_fract_x
_atom_site_fract_y
_atom_site_fract_z
Na1 Na 0.151 0.166 0.042
Pr1 Pr 0.396 0.306 0.487
Cl1 Cl 0.048 0.426 0.289
Cl2 Cl 0.246 0.936 0.772
Cl3 Cl 0.460 0.728 0.209
# * uncorrected formation energy: -1.86 eV/atom


# 4
# Pu4ThPa | Alexandria | PBE-GGA | relaxed
data_Pu4ThPa
_symmetry_space_group_name_H-M 'F -4 3 m'
_symmetry_Int_Tables_number 216
_symmetry_space_group_name_Hall 'F -4 2 3'
_cell_length_a 8.148
_cell_length_b 8.148
_cell_length_c 8.148
_cell_angle_alpha 90.00
_cell_angle_beta 90.00
_cell_angle_gamma 90.00
loop_
_atom_site_label
_atom_site_type_symbol
_atom_site_fract_x
_atom_site_fract_y
_atom_site_fract_z
Pu1 Pu 0.125 0.125 0.125
Th1 Th 0.250 0.250 0.750
Pa1 Pa 0.000 0.000 0.500
# * formation energy from the elements: 285 meV per atom


# 5
# MgGa2Cl6 | Alexandria | PBE-GGA | relaxed
data_MgGa2Cl6
_symmetry_space_group_name_H-M 'C 1 2/c 1'
_symmetry_Int_Tables_number 15
_cell_length_a 14.855
_cell_length_b 13.438
_cell_length_c 6.416
_cell_angle_alpha 90.00
_cell_angle_beta 98.57
_cell_angle_gamma 90.00
loop_
_symmetry_equiv_pos_as_xyz
'x,y,z'
'-x,-y,-z'
'-x,y,-z+1/2'
'x,-y,z+1/2'
'x+1/2,y+1/2,z'
'-x+1/2,-y+1/2,-z'
'-x+1/2,y+1/2,-z+1/2'
'x+1/2,-y+1/2,z+1/2'
loop_
_atom_site_label
_atom_site_type_symbol
_atom_site_fract_x
_atom_site_fract_y
_atom_site_fract_z
Mg1 Mg 0.000 0.002 0.250
Ga1 Ga 0.083 0.415 0.272
Cl1 Cl 0.085 0.091 0.533
Cl2 Cl 0.142 0.440 0.632
Cl3 Cl 0.163 0.295 0.176
# * uncorrected formation energy: -1.26 eV/atom
# * relative energy among the computed polymorphs: 0.00 eV per formula unit


# 6
# PC | Alexandria | PBE-GGA | relaxed
data_PC
_symmetry_space_group_name_H-M 'P m -3 m'
_symmetry_Int_Tables_number 221
_symmetry_space_group_name_Hall '-P 4 2 3'
_cell_length_a 3.894
_cell_length_b 3.894
_cell_length_c 3.894
_cell_angle_alpha 90.00
_cell_angle_beta 90.00
_cell_angle_gamma 90.00
loop_
_atom_site_label
_atom_site_type_symbol
_atom_site_fract_x
_atom_site_fract_y
_atom_site_fract_z
P1 P 0.000 0.000 0.500
C1 C 0.000 0.500 0.500
# * relative energy among the computed polymorphs: 3.04 eV per formula unit
# * formation energy from the elements: 1831 meV per atom


# 7
# Ce3ZnSe6 | Alexandria | PBE-GGA | relaxed
data_Ce3ZnSe6
_symmetry_space_group_name_H-M 'C m c 21'
_symmetry_Int_Tables_number 36
_cell_length_a 11.408
_cell_length_b 14.074
_cell_length_c 6.906
_cell_angle_alpha 90.00
_cell_angle_beta 90.00
_cell_angle_gamma 90.00
loop_
_symmetry_equiv_pos_as_xyz
'x,y,z'
'-x,-y,z+1/2'
'-x,y,z'
'x,-y,z+1/2'
'x+1/2,y+1/2,z'
'-x+1/2,-y+1/2,z+1/2'
'-x+1/2,y+1/2,z'
'x+1/2,-y+1/2,z+1/2'
loop_
_atom_site_label
_atom_site_type_symbol
_atom_site_fract_x
_atom_site_fract_y
_atom_site_fract_z
Ce1 Ce 0.000 0.106 0.000
Ce2 Ce 0.180 0.399 0.089
Zn1 Zn 0.000 0.300 0.631
Se1 Se 0.000 0.278 0.275
Se2 Se 0.000 0.463 0.780
Se3 Se 0.161 0.029 0.294
Se4 Se 0.171 0.233 0.811
# * uncorrected formation energy: -1.54 eV/atom


# 8
# In3Hg13 | Alexandria | PBE-GGA | relaxed
data_In3Hg13
_symmetry_space_group_name_H-M 'A m m 2'
_symmetry_Int_Tables_number 38
_cell_length_a 8.186
_cell_length_b 10.182
_cell_length_c 10.236
_cell_angle_alpha 90.00
_cell_angle_beta 90.00
_cell_angle_gamma 90.00
loop_
_symmetry_equiv_pos_as_xyz
'x,y,z'
'-x,-y,z'
'-x,y,z'
'x,-y,z'
'x,y+1/2,z+1/2'
'-x,-y+1/2,z+1/2'
'-x,y+1/2,z+1/2'
'x,-y+1/2,z+1/2'
loop_
_atom_site_label
_atom_site_type_symbol
_atom_site_fract_x
_atom_site_fract_y
_atom_site_fract_z
In1 In 0.000 0.000 0.000
In2 In 0.258 0.000 0.262
Hg1 Hg 0.000 0.000 0.507
Hg2 Hg 0.000 0.245 0.256
Hg3 Hg 0.247 0.000 0.756
Hg4 Hg 0.250 0.249 0.008
Hg5 Hg 0.500 0.000 0.007
Hg6 Hg 0.500 0.000 0.512
Hg7 Hg 0.500 0.245 0.758
# * formation energy from the elements: 9 meV per atom


# 9
# Ta2Br | Alexandria | PBE-GGA | relaxed
data_Ta2Br
_symmetry_space_group_name_H-M 'C 1 2/m 1'
_symmetry_Int_Tables_number 12
_cell_length_a 10.964
_cell_length_b 2.985
_cell_length_c 8.598
_cell_angle_alpha 90.00
_cell_angle_beta 99.80
_cell_angle_gamma 90.00
loop_
_symmetry_equiv_pos_as_xyz
'x,y,z'
'-x,-y,-z'
'-x,y,-z'
'x,-y,z'
'x+1/2,y+1/2,z'
'-x+1/2,-y+1/2,-z'
'-x+1/2,y+1/2,-z'
'x+1/2,-y+1/2,z'
loop_
_atom_site_label
_atom_site_type_symbol
_atom_site_fract_x
_atom_site_fract_y
_atom_site_fract_z
Ta1 Ta 0.026 0.000 0.353
Ta2 Ta 0.199 0.500 0.619
Br1 Br 0.151 0.500 0.151
# * uncorrected formation energy: 0.21 eV/atom
# * relative energy among the computed polymorphs: 0.56 eV per formula unit


# 10
# BaGeSe2Br | Alexandria | PBE-GGA | relaxed
data_BaGeSe2Br
_symmetry_space_group_name_H-M 'P 4/m m m'
_symmetry_Int_Tables_number 123
_symmetry_space_group_name_Hall '-P 4 2'
_cell_length_a 6.184
_cell_length_b 6.184
_cell_length_c 6.023
_cell_angle_alpha 90.00
_cell_angle_beta 90.00
_cell_angle_gamma 90.00
loop_
_atom_site_label
_atom_site_type_symbol
_atom_site_fract_x
_atom_site_fract_y
_atom_site_fract_z
Ba1 Ba 0.000 0.000 0.000
Ge1 Ge 0.500 0.500 0.500
Se1 Se 0.000 0.500 0.000
Br1 Br 0.000 0.000 0.500
# * uncorrected formation energy: 0.11 eV/atom
# * relative energy among the computed polymorphs: 5.44 eV per formula unit


# 11
# BaCeAu3 | Alexandria | PBE-GGA | relaxed
data_BaCeAu3
_symmetry_space_group_name_H-M 'C m c m'
_symmetry_Int_Tables_number 63
_symmetry_space_group_name_Hall '-C 2c 2'
_cell_length_a 4.081
_cell_length_b 29.149
_cell_length_c 4.725
_cell_angle_alpha 90.00
_cell_angle_beta 90.00
_cell_angle_gamma 90.00
loop_
_atom_site_label
_atom_site_type_symbol
_atom_site_fract_x
_atom_site_fract_y
_atom_site_fract_z
Ba1 Ba 0.000 0.074 0.250
Ce1 Ce 0.000 0.205 0.750
Au1 Au 0.000 0.310 0.750
Au2 Au 0.000 0.374 0.250
Au3 Au 0.000 0.473 0.250
# * formation energy from the elements: -682 meV per atom


# 12
# AlCu5Pt4 | Alexandria | PBE-GGA | relaxed
data_AlCu5Pt4
_symmetry_space_group_name_H-M 'P -1'
_symmetry_Int_Tables_number 2
_cell_length_a 4.481
_cell_length_b 5.334
_cell_length_c 6.184
_cell_angle_alpha 76.00
_cell_angle_beta 74.16
_cell_angle_gamma 78.65
loop_
_symmetry_equiv_pos_as_xyz
'x,y,z'
'-x,-y,-z'
loop_
_atom_site_label
_atom_site_type_symbol
_atom_site_fract_x
_atom_site_fract_y
_atom_site_fract_z
Al1 Al 0.000 0.000 0.000
Cu1 Cu 0.000 0.500 0.000
Cu2 Cu 0.212 0.787 0.601
Cu3 Cu 0.410 0.590 0.198
Pt1 Pt 0.185 0.293 0.612
Pt2 Pt 0.386 0.102 0.198
# * formation energy from the elements: -357 meV per atom


| no. | total magnetic moment (Bohr magnetons per cell) |
| --- | --- |
| 1 | 0.339 |
| 2 | 0.000 |
| 3 | 0.057 |
| 4 | 59.264 |
| 5 | 0.000 |
| 6 | 0.000 |
| 7 | 8.064 |
| 8 | 0.000 |
| 9 | 0.000 |
| 10 | 1.014 |
| 11 | 4.379 |
| 12 | 0.000 |